Material: ZnGaPb3
Method: DFT, GGA-PBEsol
State: relaxed

Values from the calculation:
Calculated volume (Å³/f.u.): 148
Space-group type: Pm-3m, No. 221

Cell and atoms, written as extended XYZ:
```
5
Lattice="5.2951 0.0000 0.0000 0.0000 5.2951 0.0000 0.0000 0.0000 5.2951" Properties=species:S:1:pos:R:3 pbc="T T T"
Zn 0.0000 0.0000 0.0000
Ga 2.6476 2.6476 2.6476
Pb 0.0000 0.0000 2.6476
Pb 0.0000 2.6476 0.0000
Pb 2.6476 0.0000 0.0000
```

=====

Material: Zr5GaPb3
Method: DFT, GGA-PBEsol
State: relaxed

Values from the calculation:
Calculated volume (Å³/f.u.): 193
Space-group type: P6_3/mcm, No. 193

Cell and atoms, written as extended XYZ:
```
18
Lattice="8.7062 0.0000 0.0000 -4.3531 7.5398 0.0000 0.0000 0.0000 5.8744" Properties=species:S:1:pos:R:3 pbc="T T T"
Zr -1.1497 1.9913 1.4686
Zr -3.2034 5.5485 4.4058
Zr 2.2993 0.0000 1.4686
Zr 1.1497 1.9913 4.4058
Zr 0.0000 5.0265 0.0000
Zr 0.0000 5.0265 2.9372
Zr 4.3531 2.5133 0.0000
Zr 4.3531 2.5133 2.9372
Zr 6.4068 0.0000 4.4058
Zr 3.2034 5.5485 1.4686
Ga 0.0000 0.0000 0.0000
Ga 0.0000 0.0000 2.9372
Pb -1.6880 2.9237 4.4058
Pb -2.6651 4.6161 1.4686
Pb 3.3760 0.0000 4.4058
Pb 1.6880 2.9237 1.4686
Pb 5.3302 0.0000 1.4686
Pb 2.6651 4.6161 4.4058
```

=====

Material: Ga2Pd5
Method: DFT, GGA-PBEsol
State: relaxed

Values from the calculation:
Calculated volume (Å³/f.u.): 100
Space-group type: Pnma, No. 62

Cell and atoms, written as extended XYZ:
```
28
Lattice="5.4020 0.0000 0.0000 0.0000 4.0484 0.0000 0.0000 0.0000 18.3174" Properties=species:S:1:pos:R:3 pbc="T T T"
Ga 0.9063 1.0121 3.2268
Ga 1.0822 1.0121 8.3600
Ga 1.6188 3.0363 17.5187
Ga 1.7947 3.0363 12.3855
Ga 3.6073 1.0121 5.9318
Ga 3.7832 1.0121 0.7987
Ga 4.3198 3.0363 9.9574
Ga 4.4956 3.0363 15.0905
Pd 0.1901 1.0121 10.7902
Pd 0.1964 1.0121 16.1630
Pd 0.7361 1.0121 13.4542
Pd 0.8930 1.0121 5.8596
Pd 0.9181 1.0121 0.5598
Pd 1.7829 3.0363 9.7185
Pd 1.8079 3.0363 15.0183
Pd 1.9649 3.0363 4.2955
Pd 2.5046 3.0363 7.0043
Pd 2.5108 3.0363 1.6315
Pd 2.8911 1.0121 16.6859
Pd 2.8974 1.0121 11.3130
Pd 3.4371 1.0121 14.0219
Pd 3.5940 1.0121 3.2991
Pd 3.6191 1.0121 8.5989
Pd 4.4839 3.0363 17.7576
Pd 4.5089 3.0363 12.4577
Pd 4.6658 3.0363 4.8632
Pd 5.2056 3.0363 2.1543
Pd 5.2118 3.0363 7.5272
```

=====

Material: Ga5Pd
Method: DFT, GGA-PBEsol
State: relaxed

Values from the calculation:
Calculated volume (Å³/f.u.): 101
Space-group type: I4/mcm, No. 140

Cell and atoms, written as extended XYZ:
```
12
Lattice="-3.1911 3.1911 4.9506 3.1911 -3.1911 4.9506 3.1911 3.1911 -4.9506" Properties=species:S:1:pos:R:3 pbc="T T T"
Ga 0.0000 0.0000 0.0000
Ga 4.1228 0.9317 -1.3769
Ga 0.9317 2.2594 -1.3769
Ga 4.1228 0.9317 1.3769
Ga 0.9317 2.2594 1.3769
Ga 0.0000 0.0000 4.9506
Ga 2.2594 0.9317 3.5737
Ga -0.9317 2.2594 3.5737
Ga 2.2594 0.9317 6.3275
Ga -0.9317 2.2594 6.3275
Pd 0.0000 0.0000 2.4753
Pd 0.0000 0.0000 7.4259
```

=====

Material: Ga5Pd13
Method: DFT, GGA-PBEsol
State: relaxed

Values from the calculation:
Calculated volume (Å³/f.u.): 257
Space-group type: C2/m, No. 12

Cell and atoms, written as extended XYZ:
```
18
Lattice="12.0641 -2.0155 0.0000 12.0641 2.0155 0.0000 -1.1663 0.0000 5.2920" Properties=species:S:1:pos:R:3 pbc="T T T"
Ga 0.0000 0.0000 0.0000
Ga 1.8079 0.0000 3.4017
Ga 7.0066 0.0000 3.6302
Ga 15.9553 0.0000 1.6618
Ga 21.1541 0.0000 1.8903
Pd -0.5832 0.0000 2.6460
Pd 2.5779 0.0000 0.6581
Pd 4.4444 0.0000 3.1441
Pd 5.2952 0.0000 0.5774
Pd 7.9954 0.0000 0.9055
Pd 9.6464 0.0000 3.3263
Pd 10.7898 0.0000 0.8045
Pd 12.1721 0.0000 4.4875
Pd 13.3155 0.0000 1.9657
Pd 14.9665 0.0000 4.3865
Pd 17.6667 0.0000 4.7146
Pd 18.5175 0.0000 2.1479
Pd 20.3840 0.0000 4.6339
```

=====

Material: GaPd3
Method: DFT, GGA-PBEsol
State: relaxed

Values from the calculation:
Calculated volume (Å³/f.u.): 57
Space-group type: P6_3/mmc, No. 194

Cell and atoms, written as extended XYZ:
```
8
Lattice="5.5030 0.0000 0.0000 -2.7515 4.7657 0.0000 0.0000 0.0000 4.3683" Properties=species:S:1:pos:R:3 pbc="T T T"
Ga 0.0000 3.1771 1.0921
Ga 2.7515 1.5886 3.2762
Pd 0.0000 1.6018 3.2762
Pd -1.3643 3.9648 3.2762
Pd 1.3872 0.8009 1.0921
Pd 1.3643 3.9648 3.2762
Pd 4.1158 0.8009 1.0921
Pd 2.7515 3.1639 1.0921
```

=====

Material: GaPd3
Method: DFT, GGA-PBEsol
State: relaxed

Values from the calculation:
Calculated volume (Å³/f.u.): 57
Space-group type: Pm-3m, No. 221

Cell and atoms, written as extended XYZ:
```
4
Lattice="3.8532 0.0000 0.0000 0.0000 3.8532 0.0000 0.0000 0.0000 3.8532" Properties=species:S:1:pos:R:3 pbc="T T T"
Ga 0.0000 0.0000 0.0000
Pd 0.0000 1.9266 1.9266
Pd 1.9266 0.0000 1.9266
Pd 1.9266 1.9266 0.0000
```

=====

Material: GaPd3
Method: DFT, GGA-PBEsol
State: relaxed

Values from the calculation:
Calculated volume (Å³/f.u.): 57
Space-group type: Fm-3m, No. 225

Cell and atoms, written as extended XYZ:
```
4
Lattice="0.0000 3.0615 3.0615 3.0615 0.0000 3.0615 3.0615 3.0615 0.0000" Properties=species:S:1:pos:R:3 pbc="T T T"
Ga 0.0000 0.0000 0.0000
Pd 1.5308 1.5308 1.5308
Pd 3.0615 3.0615 3.0615
Pd 4.5923 4.5923 4.5923
```

=====

no.,density of states at the Fermi level (states/eV/atom),M_tot (μB per atom),electronic total energy (eV/atom)
1,0.58,0.0000,-2.942
2,0.71,0.0000,-7.238
3,0.26,0.0000,-5.798
4,0.25,0.0000,-4.058
5,0.27,0.0000,-5.806
6,1.10,0.0001,-5.775
7,1.04,0.0001,-5.779
8,0.42,0.0001,-5.761